[1]
{"formula": "SrPtAu4", "functional": "PBE", "state": "relaxed", "m_tot_mub_per_fu": 0.0, "ef_mev_per_atom": -295, "final_energy_ha_per_atom": -0.1384, "lattice_angstrom": [[2.1410, -8.2585, 0.0000], [2.1410, 8.2585, 0.0000], [0.0000, 0.0000, 7.2769]], "species": ["Sr", "Sr", "Pt", "Pt", "Au", "Au", "Au", "Au", "Au", "Au", "Au", "Au"], "fractional_positions": [[0.1229, 0.8771, 0.7500], [0.8771, 0.1229, 0.2500], [0.2399, 0.7601, 0.2500], [0.7601, 0.2399, 0.7500], [0.0678, 0.9322, 0.2500], [0.3315, 0.6685, 0.5580], [0.3315, 0.6685, 0.9420], [0.5000, 0.5000, 0.0000], [0.5000, 0.5000, 0.5000], [0.6685, 0.3315, 0.0580], [0.6685, 0.3315, 0.4420], [0.9322, 0.0678, 0.7500]]}

[2]
{"formula": "Sr4Pt3Au", "functional": "PBE", "state": "relaxed", "m_tot_mub_per_fu": 0.0, "ef_mev_per_atom": -814, "final_energy_ha_per_atom": -0.1591, "lattice_angstrom": [[4.2502, 0.0000, 0.0000], [0.0000, 4.5804, 0.0000], [0.0000, 0.0000, 11.3402]], "species": ["Sr", "Sr", "Sr", "Sr", "Pt", "Pt", "Pt", "Au"], "fractional_positions": [[0.0000, 0.0000, 0.0000], [0.0000, 0.5000, 0.2691], [0.5000, 0.0000, 0.4832], [0.5000, 0.5000, 0.7744], [0.0000, 0.5000, 0.5560], [0.5000, 0.0000, 0.2056], [0.5000, 0.5000, 0.0560], [0.0000, 0.0000, 0.7066]]}

[3]
{"formula": "SrPtAu2", "functional": "PBE", "state": "relaxed", "m_tot_mub_per_fu": 0.0, "ef_mev_per_atom": -445, "final_energy_ha_per_atom": -0.1475, "lattice_angstrom": [[4.0281, 0.0000, 0.0000], [0.0000, 4.6647, 0.0000], [-0.0110, 0.0000, 5.3634]], "species": ["Sr", "Pt", "Au", "Au"], "fractional_positions": [[0.0000, 0.0000, 0.0000], [0.5000, 0.0000, 0.5000], [0.4993, 0.5000, 0.7527], [0.5007, 0.5000, 0.2473]]}

[4]
{"formula": "Sr2PtAu", "functional": "PBE", "state": "relaxed", "m_tot_mub_per_fu": 0.0, "ef_mev_per_atom": -824, "final_energy_ha_per_atom": -0.1468, "lattice_angstrom": [[6.1445, 0.0000, 0.0000], [0.0000, 4.6181, 0.0000], [-3.0047, 0.0000, 8.0006]], "species": ["Sr", "Sr", "Sr", "Sr", "Pt", "Pt", "Au", "Au"], "fractional_positions": [[0.2162, 0.2500, 0.4356], [0.2279, 0.2500, 0.9249], [0.7721, 0.7500, 0.0751], [0.7838, 0.7500, 0.5644], [0.3513, 0.7500, 0.7124], [0.6487, 0.2500, 0.2876], [0.3409, 0.7500, 0.2117], [0.6591, 0.2500, 0.7883]]}